DFT (PBE) results for CsNdPb2Cl8 after structural relaxation.

```
12
Lattice="6.960 0.036 0.012 0.091 6.718 0.009 0.029 0.032 9.255" Properties=species:S:1:pos:R:3 pbc="T T T"
Cs 0.014 0.016 4.627
Nd 0.000 0.000 0.000
Pb 3.546 3.398 6.937
Pb 3.534 3.388 2.339
Cl 1.203 5.092 1.927
Cl 4.814 5.065 0.025
Cl 5.856 1.670 1.927
Cl 5.877 1.694 7.349
Cl 2.266 1.721 9.250
Cl 1.224 5.116 7.349
Cl 4.284 4.915 4.618
Cl 2.796 1.871 4.657
```

Summary:
- D(E_F): 0.000 states/eV/atom
- Magnetization: 0.00 μB/f.u.
- ΔE_f (raw): -1.649 eV/atom
- Symmetry: P-1
- V: 432.7 Å³/f.u.